The following is a DFT calculation (SCAN) of LaPr3Al4O12 at its PBEsol-relaxed geometry.

E_form (uncorrected)   -3640 meV per atom
Mass density   6.7 g cm⁻³
Uncorrected energy   -17.583 eV per atom

Unit cell a=5.305 b=5.305 c=7.572 alpha=90.00 beta=90.00 gamma=90.00
Positions (direct):
Pr (0.500, 0.500, 0.500)
O (0.500, 0.000, 0.500)
O (0.000, 0.500, 0.000)
O (0.786, 0.786, 0.752)
Pr (0.000, 0.000, 0.000)
Al (0.500, 0.000, 0.750)
O (0.214, 0.786, 0.248)
O (0.287, 0.713, 0.750)
Pr (0.500, 0.500, 0.000)
O (0.786, 0.214, 0.248)
O (0.000, 0.500, 0.500)
O (0.287, 0.287, 0.250)
O (0.214, 0.214, 0.752)
O (0.500, 0.000, 0.000)
La (0.000, 0.000, 0.500)
Al (0.000, 0.500, 0.750)
Al (0.500, 0.000, 0.250)
Al (0.000, 0.500, 0.250)
O (0.713, 0.287, 0.750)
O (0.713, 0.713, 0.250)